(1)
A plane-wave DFT calculation with PBE was carried out for a geometry-optimized Tl2HgRhSe structure.

abc: 5.451 5.451 4.833
angles: 90.00 90.00 90.00
Space group P4/mmm (No. 123)
Inequivalent atoms, fractional coordinates:
Tl 0.000 0.500 0.000
Hg 0.000 0.000 0.500
Rh 0.500 0.500 0.000
Se 0.500 0.500 0.500

E_tot: -3.2144 eV per atom
V: 28.72 Å³ per atom


(2)
A plane-wave DFT calculation with PBE was carried out for a geometry-optimized V2Hg2RhSe6 structure.

abc: 5.682 10.599 9.684
angles: 90.00 102.32 90.00
Space group C2/m (No. 12)
Inequivalent atoms, fractional coordinates:
V 0.000 0.135 0.000
Hg 0.000 0.250 0.500
Rh 0.000 0.500 0.000
Se 0.104 0.000 0.817
Se 0.104 0.322 0.849

E_tot: -4.7543 eV per atom
V: 25.90 Å³ per atom


(3)
A plane-wave DFT calculation with PBE was carried out for a geometry-optimized SiHg3Rh structure.

abc: 5.168 5.168 5.168
angles: 90.00 90.00 90.00
Space group Pm-3m (No. 221)
Inequivalent atoms, fractional coordinates:
Si 0.000 0.000 0.000
Hg 0.000 0.500 0.500
Rh 0.500 0.500 0.500

V: 27.61 Å³ per atom
Relative energy among the computed polymorphs: 0.0 meV/atom


(4)
A plane-wave DFT calculation with PBE was carried out for a geometry-optimized SiHg3Rh structure.

abc: 4.955 4.955 4.955
angles: 90.00 90.00 90.00
Space group Pm-3m (No. 221)
Inequivalent atoms, fractional coordinates:
Si 0.000 0.000 0.000
Hg 0.000 0.000 0.500
Rh 0.500 0.500 0.500

V: 24.34 Å³ per atom
Relative energy among the computed polymorphs: 126.0 meV/atom


(5)
A plane-wave DFT calculation with PBE was carried out for a geometry-optimized Si2HgRh2 structure.

abc: 3.654 3.654 11.956
angles: 90.00 90.00 90.00
Space group I4/mmm (No. 139)
Inequivalent atoms, fractional coordinates:
Si 0.000 0.500 0.250
Hg 0.000 0.000 0.000
Rh 0.000 0.000 0.378

V: 15.96 Å³ per atom
Relative energy among the computed polymorphs: 0.0 meV/atom


(6)
A plane-wave DFT calculation with PBE was carried out for a geometry-optimized SiHgRh3 structure.

abc: 4.438 4.438 4.438
angles: 90.00 90.00 90.00
Space group Pm-3m (No. 221)
Inequivalent atoms, fractional coordinates:
Si 0.000 0.000 0.000
Hg 0.500 0.500 0.500
Rh 0.000 0.000 0.500

V: 17.48 Å³ per atom
Relative energy among the computed polymorphs: 0.0 meV/atom